MnCrCuGeOs: optimized geometry, PBE-GGA.

The energy of formation comes out at 189 meV per atom. The value obtained for the total moment is 0.00 μB per cell. The crystal system is orthorhombic. Its distance to the lowest polymorph of the same formula is 2.705 kcal/mol of atoms.

POSCAR file:
```
MnCrCuGeOs
1.0
-0.833 1.523 -2.089
-3.584 -1.644 0.231
-3.467 8.633 7.679
Cr Os Ge Mn Cu
2 2 2 2 2
Cartesian
-1.081 2.691 2.394 Cr
-5.022 6.947 5.304 Cr
-2.529 6.298 5.602 Os
-3.004 1.921 0.833 Os
-2.131 5.032 2.754 Ge
-5.240 7.765 7.753 Ge
-3.582 8.646 5.968 Mn
-3.224 2.746 3.288 Mn
-0.376 0.937 0.833 Cu
-4.318 5.193 3.744 Cu
```


MnCrCuGeOs: optimized geometry, PBE-GGA.

The energy of formation comes out at 303 meV per atom. The value obtained for the total moment is 0.58 μB per cell. The crystal system is orthorhombic. Its distance to the lowest polymorph of the same formula is 5.335 kcal/mol of atoms.

POSCAR file:
```
MnCrCuGeOs
1.0
-2.570 1.403 0.118
-0.444 -1.122 3.689
4.301 4.664 1.936
Ge Mn Os Cr Cu
1 1 1 1 1
Cartesian
-1.460 2.057 0.450 Ge
2.225 2.468 3.060 Mn
-0.020 1.464 2.485 Os
1.169 3.744 1.280 Cr
1.881 4.843 3.741 Cu
```


MnCrCuGeOs: optimized geometry, PBE-GGA.

The energy of formation comes out at 199 meV per atom. The value obtained for the total moment is 1.72 μB per cell. The crystal system is orthorhombic. Its distance to the lowest polymorph of the same formula is 2.938 kcal/mol of atoms.

POSCAR file:
```
MnCrCuGeOs
1.0
2.732 0.000 0.000
0.000 3.845 0.000
0.000 0.000 12.623
Ge Mn Cu Cr Os
2 2 2 2 2
Cartesian
1.366 0.000 1.863 Ge
1.366 1.923 8.174 Ge
1.366 1.923 0.427 Mn
1.366 0.000 6.739 Mn
0.000 0.000 11.959 Cu
0.000 1.923 5.648 Cu
1.366 0.000 4.428 Cr
1.366 1.923 10.739 Cr
0.000 0.000 9.357 Os
0.000 1.923 3.046 Os
```


MnCrCuGeOs: optimized geometry, PBE-GGA.

The energy of formation comes out at 93 meV per atom. The value obtained for the total moment is 0.64 μB per cell. The crystal system is monoclinic. Its distance to the lowest polymorph of the same formula is 0.492 kcal/mol of atoms.

POSCAR file:
```
MnCrCuGeOs
1.0
5.846 0.000 -0.019
0.000 3.694 0.000
-5.848 0.000 6.136
Cr Ge Os Cu Mn
2 2 2 2 2
Cartesian
-3.617 0.000 4.073 Cr
-0.693 1.847 1.005 Cr
-1.354 0.000 5.305 Ge
1.570 1.847 2.237 Ge
3.300 0.000 1.581 Os
0.377 1.847 4.649 Os
-3.091 1.847 5.843 Cu
-0.168 0.000 2.775 Cu
0.998 0.000 0.332 Mn
-1.925 1.847 3.400 Mn
```


MnCrCuGeOs: optimized geometry, PBE-GGA.

The energy of formation comes out at 221 meV per atom. The value obtained for the total moment is 0.85 μB per cell. The crystal system is monoclinic. Its distance to the lowest polymorph of the same formula is 3.458 kcal/mol of atoms.

POSCAR file:
```
MnCrCuGeOs
1.0
-2.224 -4.110 4.279
2.255 0.346 1.504
-2.344 7.917 1.693
Cu Ge Cr Os Mn
2 2 2 2 2
Cartesian
-0.365 0.504 0.432 Cu
-0.410 4.635 2.030 Cu
-1.569 -0.332 2.429 Ge
-1.614 3.800 4.028 Ge
-2.817 1.390 3.903 Cr
-0.517 -2.395 3.808 Cr
-2.712 5.814 2.728 Os
-0.413 2.029 2.634 Os
-2.782 -1.151 4.435 Mn
-2.827 2.980 6.034 Mn
```


MnCrCuGeOs: optimized geometry, PBE-GGA.

The energy of formation comes out at 239 meV per atom. The value obtained for the total moment is 0.45 μB per cell. The crystal system is orthorhombic. Its distance to the lowest polymorph of the same formula is 3.866 kcal/mol of atoms.

POSCAR file:
```
MnCrCuGeOs
1.0
-0.174 -1.167 3.764
3.286 -2.092 -0.496
5.093 7.400 2.530
Os Cu Ge Cr Mn
2 2 2 2 2
Cartesian
0.926 1.346 0.460 Os
5.116 3.999 1.477 Os
5.991 4.815 3.837 Cu
1.802 2.161 2.820 Cu
4.199 2.210 2.947 Ge
0.009 -0.444 1.930 Ge
2.540 -0.199 2.123 Cr
3.444 4.547 3.636 Cr
4.295 6.240 2.133 Mn
3.392 1.494 0.620 Mn
```


MnCrCuGeOs: optimized geometry, PBE-GGA.

The energy of formation comes out at 189 meV per atom. The value obtained for the total moment is 1.37 μB per cell. The crystal system is orthorhombic. Its distance to the lowest polymorph of the same formula is 2.717 kcal/mol of atoms.

POSCAR file:
```
MnCrCuGeOs
1.0
-2.342 -2.840 1.858
2.020 -0.538 1.725
-4.057 8.110 7.280
Mn Cr Os Cu Ge
2 2 2 2 2
Cartesian
-1.286 0.560 3.811 Mn
-3.153 6.304 5.659 Mn
0.292 1.166 2.150 Cr
-3.917 4.070 5.857 Cr
-3.671 5.327 8.090 Os
-1.481 2.961 2.658 Os
-1.542 -0.679 1.594 Cu
-1.389 4.527 5.168 Cu
-3.983 7.963 7.149 Ge
-2.116 2.219 5.300 Ge
```


MnCrCuGeOs: optimized geometry, PBE-GGA.

The energy of formation comes out at 72 meV per atom. The value obtained for the total moment is 0.66 μB per cell. The crystal system is monoclinic. Its distance to the lowest polymorph of the same formula is 0.000 kcal/mol of atoms.

POSCAR file:
```
MnCrCuGeOs
1.0
-3.251 0.457 -1.779
-0.528 -2.729 -3.655
-3.339 -2.855 1.449
Cu Mn Os Ge Cr
1 1 1 1 1
Cartesian
-5.479 -4.294 -3.671 Cu
-6.487 -3.047 -1.506 Mn
-3.901 -2.670 -2.219 Os
-1.387 -2.207 -2.772 Ge
-2.423 -1.164 -0.613 Cr
```


CrCuGe2Pd: optimized geometry, PBE-GGA.

The energy of formation comes out at 754 meV per atom. The value obtained for the total moment is 0.00 μB per cell. The crystal system is tetragonal.

POSCAR file:
```
CrCuGe2Pd
1.0
-2.741 1.706 -3.214
0.699 -3.832 -2.631
-3.575 -2.012 1.981
Cu Ge Pd Cr
1 2 1 1
Cartesian
-2.808 -2.069 -1.932 Cu
-1.788 -1.006 0.990 Ge
-1.370 0.853 -1.607 Ge
0.350 -1.916 -1.315 Pd
0.000 0.000 0.000 Cr
```


Pm2CrCu3Ge4: optimized geometry, PBE-GGA.

The energy of formation comes out at -444 meV per atom. The value obtained for the total moment is 3.17 μB per cell. The crystal system is tetragonal.

POSCAR file:
```
Pm2CrCu3Ge4
1.0
4.170 0.000 0.000
0.000 4.170 0.000
0.000 0.000 10.360
Ge Pm Cu Cr
4 2 3 1
Cartesian
2.085 2.085 0.000 Ge
0.000 0.000 0.000 Ge
0.000 2.085 3.770 Ge
2.085 0.000 6.590 Ge
0.000 2.085 7.811 Pm
2.085 0.000 2.549 Pm
2.085 0.000 9.004 Cu
0.000 0.000 5.180 Cu
0.000 2.085 1.356 Cu
2.085 2.085 5.180 Cr
```


RbCrCuGe2: optimized geometry, PBE-GGA.

The energy of formation comes out at 755 meV per atom. The value obtained for the total moment is 2.30 μB per cell. The crystal system is tetragonal.

POSCAR file:
```
RbCrCuGe2
1.0
-3.518 -1.749 -2.672
4.013 -3.800 -2.797
-0.850 -3.320 3.291
Rb Cu Ge Cr
1 1 2 1
Cartesian
2.007 -1.900 -1.399 Rb
-0.177 -4.434 -1.089 Cu
-0.425 -1.660 1.646 Ge
-1.759 -0.874 -1.336 Ge
0.000 0.000 0.000 Cr
```


Rb2CrCuGe: optimized geometry, PBE-GGA.

The energy of formation comes out at 1039 meV per atom. The value obtained for the total moment is 7.24 μB per cell. The crystal system is tetragonal.

POSCAR file:
```
Rb2CrCuGe
1.0
6.739 0.000 0.000
0.000 4.855 0.000
0.000 0.000 6.739
Cu Ge Rb Cr
1 1 2 1
Cartesian
0.000 2.428 0.000 Cu
3.370 2.428 3.370 Ge
0.000 0.000 3.370 Rb
3.370 0.000 0.000 Rb
0.000 0.000 0.000 Cr
```


Calculated density (computed, g cm⁻³): 11.12 9.78 10.85 10.90 10.64 9.95 11.07 10.86 6.25 7.59 4.11 2.70